Record 1
## Tb6PmNd3Sm2 (GGA-PBE)

Data for a relaxed Tb6PmNd3Sm2 crystal.

a = 6.262 Å, b = 10.845 Å, c = 11.911 Å
α = 90.00°, β = 100.08°, γ = 90.00°
Space group C2/m (No. 12)
Asymmetric unit:
1 Tb 0.250 0.000 0.249 x4
2 Tb 0.250 0.167 0.751 x8
3 Pm 0.000 0.500 0.000 x2
4 Nd 0.000 0.000 0.500 x2
5 Nd 0.000 0.333 0.500 x4
6 Sm 0.000 0.167 0.000 x4

electronic total energy	-4.678	eV/atom
calculated formation energy	0.012	eV per atom
density of states at the Fermi level	29.70	states/eV per cell
crystal system	monoclinic

---

Record 2
## Tl2Hg2Pb7 (GGA-PBE)

Data for a relaxed Tl2Hg2Pb7 crystal.

a = 9.130 Å, b = 10.947 Å, c = 7.270 Å
α = 90.00°, β = 108.34°, γ = 90.00°
Space group C2/m (No. 12)
Asymmetric unit:
1 Tl 0.184 0.000 0.497 x4
2 Hg 0.000 0.282 0.500 x4
3 Pb 0.000 0.000 0.000 x2
4 Pb 0.102 0.500 0.841 x4
5 Pb 0.174 0.267 0.178 x8

electronic total energy	-2.802	eV/atom
calculated formation energy	0.043	eV per atom
density of states at the Fermi level	10.70	states/eV per cell
crystal system	monoclinic

---

Record 3
## HfSb2TeBr (GGA-PBE)

Data for a relaxed HfSb2TeBr crystal.

a = 5.316 Å, b = 5.316 Å, c = 5.519 Å
α = 90.00°, β = 90.00°, γ = 90.00°
Space group P4/mmm (No. 123)
Asymmetric unit:
1 Hf 0.000 0.000 0.000 x1
2 Sb 0.000 0.500 0.500 x2
3 Te 0.500 0.500 0.000 x1
4 Br 0.500 0.500 0.500 x1

electronic total energy	-3.565	eV/atom
density of states at the Fermi level	4.13	states/eV per cell
crystal system	tetragonal